[1]
Computed, not measured: crystalline TlWAu2 at its relaxed geometry at the PBE level of DFT.

a b c (Å): 2.9263 4.0843 6.3869
angles (deg): 90.00 90.00 90.00
Positions (direct):
Tl1 0.0000 0.0000 0.0000
W1 0.5000 0.5000 0.2725
Au1 0.0000 0.0000 0.4812
Au2 0.5000 0.5000 0.7234

- Total energy: -4.828 eV/atom
- Total magnetic moment: 0.0 μB per cell

[2]
Computed, not measured: crystalline Tl3WAu at its relaxed geometry at the PBE level of DFT.

a b c (Å): 5.4855 5.4855 5.4855
angles (deg): 90.00 90.00 90.00
Positions (direct):
Tl1 0.0000 0.0000 0.5000
Tl2 0.0000 0.5000 0.0000
Tl3 0.5000 0.0000 0.0000
W1 0.5000 0.5000 0.5000
Au1 0.0000 0.0000 0.0000

- Total energy: -3.288 eV/atom
- Total magnetic moment: 4.4 μB per cell

[3]
Computed, not measured: crystalline TlWAu2 at its relaxed geometry at the PBE level of DFT.

a b c (Å): 2.9127 2.9127 8.9950
angles (deg): 90.00 90.00 90.00
Positions (direct):
Tl1 0.0000 0.0000 0.0000
W1 0.5000 0.5000 0.2619
Au1 0.0000 0.0000 0.4777
Au2 0.5000 0.5000 0.7193

- Total energy: -4.956 eV/atom
- Total magnetic moment: 0.0 μB per cell